Crystalline GaNi4Rh at its relaxed geometry. Source: Alexandria, functional PBE.

a = 4.4773 Å, b = 5.6447 Å, c = 6.3032 Å
α = 110.41°, β = 90.81°, γ = 104.60°
Space group P-1 (No. 2)
One atom of each set of equivalent atoms:
Ga1 0.0437 0.3610 0.2724 (multiplicity 2)
Ni1 0.1314 0.1325 0.8761 (multiplicity 2)
Ni2 0.2986 0.6258 0.0375 (multiplicity 2)
Ni3 0.3752 0.3845 0.6281 (multiplicity 2)
Ni4 0.4539 0.1198 0.1999 (multiplicity 2)
Rh1 0.2071 0.8685 0.4557 (multiplicity 2)

Summary:
The calculation puts the energy relative to the lowest polymorph listed for this composition at 0.000 eV/atom. As for the size of the total moment: 1.53 μB per formula unit. As for the formation energy from the elements: -0.163 eV per atom.



Crystalline Ga3NiRh4 at its relaxed geometry. Source: Alexandria, functional PBE.

a = 3.0239 Å, b = 4.2523 Å, c = 8.5265 Å
α = 90.00°, β = 90.00°, γ = 90.00°
Space group Pmmm (No. 47)
One atom of each set of equivalent atoms:
Ga1 0.0000 0.0000 0.0000 (multiplicity 1)
Ga2 0.0000 0.5000 0.2594 (multiplicity 2)
Ni1 0.0000 0.0000 0.5000 (multiplicity 1)
Rh1 0.5000 0.0000 0.2471 (multiplicity 2)
Rh2 0.5000 0.5000 0.0000 (multiplicity 1)
Rh3 0.5000 0.5000 0.5000 (multiplicity 1)

Summary:
As for the size of the total moment: 0.98 μB per formula unit. As for the formation energy from the elements: -0.530 eV per atom.